Entry 1:
# InSb2Pb2

A geometry-optimized InSb2Pb2 structure (PBE, Alexandria via LeMat-Bulk).

Values from the calculation:
* magnetization: 0.000 μB/cell
* formation energy from raw total energies: 0.82 eV per formula unit

Structure (CIF):
```
data_InSb2Pb2
_symmetry_space_group_name_H-M 'I 4/m m m'
_symmetry_Int_Tables_number 139
_symmetry_space_group_name_Hall '-I 4 2'
_cell_length_a 4.244
_cell_length_b 4.244
_cell_length_c 17.821
_cell_angle_alpha 90.00
_cell_angle_beta 90.00
_cell_angle_gamma 90.00
loop_
_atom_site_label
_atom_site_type_symbol
_atom_site_fract_x
_atom_site_fract_y
_atom_site_fract_z
In1 In 0.000 0.000 0.000
Sb1 Sb 0.000 0.500 0.250
Pb1 Pb 0.000 0.000 0.403
```

---

Entry 2:
# In2SbPb

A geometry-optimized In2SbPb structure (PBE, Alexandria via LeMat-Bulk).

Values from the calculation:
* magnetization: 0.000 μB/cell
* formation energy from raw total energies: 0.43 eV per formula unit

Structure (CIF):
```
data_In2SbPb
_symmetry_space_group_name_H-M 'I -4 2 d'
_symmetry_Int_Tables_number 122
_symmetry_space_group_name_Hall 'I -4 2bw'
_cell_length_a 6.853
_cell_length_b 6.853
_cell_length_c 13.033
_cell_angle_alpha 90.00
_cell_angle_beta 90.00
_cell_angle_gamma 90.00
loop_
_atom_site_label
_atom_site_type_symbol
_atom_site_fract_x
_atom_site_fract_y
_atom_site_fract_z
In1 In 0.240 0.250 0.125
Sb1 Sb 0.000 0.000 0.000
Pb1 Pb 0.000 0.000 0.500
```

---

Entry 3:
# In2SbPb

A geometry-optimized In2SbPb structure (PBE, Alexandria via LeMat-Bulk).

Values from the calculation:
* magnetization: 0.000 μB/cell
* formation energy from raw total energies: 0.26 eV per formula unit

Structure (CIF):
```
data_In2SbPb
_symmetry_space_group_name_H-M 'R 3 m'
_symmetry_Int_Tables_number 160
_symmetry_space_group_name_Hall 'R 3 -2"'
_cell_length_a 3.4911
_cell_length_b 3.4911
_cell_length_c 32.6578
_cell_angle_alpha 90.00
_cell_angle_beta 90.00
_cell_angle_gamma 120.00
loop_
_atom_site_label
_atom_site_type_symbol
_atom_site_fract_x
_atom_site_fract_y
_atom_site_fract_z
In1 In 0.0000 0.0000 0.0000
In2 In 0.0000 0.0000 0.2509
Sb1 Sb 0.0000 0.0000 0.5053
Pb1 Pb 0.0000 0.0000 0.7545
```

---

Number 1: DOS at the Fermi energy 6.54 states/eV per cell, energy above the lowest structure with this stoichiometry 0.0803 eV/atom. Number 2: DOS at the Fermi energy 8.24 states/eV per cell, energy above the lowest structure with this stoichiometry 0.0739 eV/atom. Number 3: DOS at the Fermi energy 5.08 states/eV per cell, energy above the lowest structure with this stoichiometry 0.0321 eV/atom.